PrTmZn4 PBE relaxed; theoretical density = 6.7 Mg/m³; energy above the lowest structure with this stoichiometry = 34.57 kJ per mole of atoms; SG = P-1 (2); formation energy from the elements = 0.0149 eV per atom
1.0
3.7829 0.0016 0.0141
0.0010 3.7797 0.0212
0.0239 0.0356 9.9080
Pr Tm Zn
1 1 4
Direct
0.5011 0.4972 0.9981 Pr
0.0014 0.9971 0.4981 Tm
0.5027 0.9964 0.2583 Zn
0.5000 0.9984 0.7381 Zn
0.0020 0.4952 0.7382 Zn
0.0006 0.4995 0.2580 Zn